a.
An optimized crystal structure of BeCoIN2, computed with GGA-PBE.

POSCAR file:
```
BeCoIN2
1.0
-0.5567 3.4433 -0.4126
-2.7040 -0.1693 2.2352
3.8507 1.1916 4.7487
N Co I Be
2 1 1 1
Direct
0.5000 0.0000 0.0000
0.0000 0.5000 0.0000
0.5000 0.5000 0.5000
0.0000 0.0000 0.5000
0.0000 0.0000 0.0000
```

Results
Crystal system: tetragonal
Volume (Å³/cell): 77


b.
An optimized crystal structure of BeCoIN2, computed with GGA-PBE.

POSCAR file:
```
BeCoIN2
1.0
-0.4528 -2.5551 2.4092
-0.9441 -2.2512 -2.5649
6.9649 -1.9980 -0.8101
Co N Be I
1 2 1 1
Direct
0.0000 0.0000 0.0000
0.0000 0.5000 0.0000
0.5000 0.0000 0.0000
0.5000 0.5000 0.5000
0.0000 0.0000 0.5000
```

Results
Crystal system: tetragonal
Volume (Å³/cell): 91


a is the least stable structure shown above.